Entry from Alexandria: crystalline ErHfTh2 at its relaxed geometry (GGA-PBE).

Calculated values
M_tot ... 0.00 μB per formula unit
Formation enthalpy at 0 K ... 0.11 eV/atom
Calculated total energy ... -0.2658 hartree per atom
Energy relative to the lowest polymorph listed for this composition ... 0.0 meV per atom
Volume ... 117.37 Å³/cell

Cell lengths 3.476, 3.476, 9.713 Å; angles 90.00, 90.00, 90.00 degrees
Space group P4/mmm (No. 123)
One atom of each set of equivalent atoms:
Er (0.000, 0.000, 0.000)
Hf (0.000, 0.000, 0.500)
Th (0.500, 0.500, 0.265)